Entry 1:
Entry from Alexandria via LeMat-Bulk: crystalline BaMgMn at its relaxed geometry (PBE-GGA).

```
BaMgMn
1.0
-1.765 -3.310 -3.697
-0.074 -5.185 0.925
-4.592 -2.490 0.671
Mg Ba Mn
1 1 1
Direct
0.500 0.500 0.500 Mg
0.000 0.000 0.000 Ba
0.750 0.750 0.750 Mn
```

Properties
- raw total energy (eV per formula unit) = -10.99


Entry 2:
Entry from Alexandria via LeMat-Bulk: crystalline Ba2MgMnMo at its relaxed geometry (PBE-GGA).

```
Ba2MgMnMo
1.0
-0.711 -0.780 6.152
-2.329 -3.792 -0.750
5.299 -3.294 0.195
Mg Mn Ba Mo
1 1 2 1
Direct
0.500 0.500 0.500 Mg
0.000 0.000 0.000 Mn
0.500 0.000 0.000 Ba
0.000 0.000 0.500 Ba
0.000 0.500 0.000 Mo
```

Properties
- raw total energy (eV per formula unit) = -21.25


Entry 3:
Entry from Alexandria via LeMat-Bulk: crystalline RbBaMg2Mn at its relaxed geometry (PBE-GGA).

```
RbBaMg2Mn
1.0
-2.637 -2.708 4.692
-3.763 -3.512 -4.141
4.192 -4.326 -0.141
Rb Mn Mg Ba
1 1 2 1
Direct
0.000 0.000 0.000 Rb
0.500 0.500 0.500 Mn
0.000 0.000 0.500 Mg
0.500 0.000 0.000 Mg
0.000 0.500 0.000 Ba
```

Properties
- raw total energy (eV per formula unit) = -8.58


Entry 4:
Entry from Alexandria via LeMat-Bulk: crystalline BaMgMnSe2 at its relaxed geometry (PBE-GGA).

```
BaMgMnSe2
1.0
-0.596 -3.421 3.414
3.891 -2.990 -2.317
3.342 2.194 2.781
Mn Se Mg Ba
1 2 1 1
Direct
0.000 0.000 0.000 Mn
0.000 0.000 0.500 Se
0.500 0.000 0.000 Se
0.500 0.500 0.500 Mg
0.000 0.500 0.000 Ba
```

Properties
- formation energy from raw total energies (eV per atom) = 0.02